Entry 1:
A relaxed structure of KBa2Sb. Source: the Alexandria database, functional GGA-PBE.

Properties
Magnetization in μB per cell: 0.6
Formation energy from raw total energies in eV per atom: -0.5631
Fermi-level density of states in states/eV per cell: 5.8
Calculated total energy in eV/atom: -2.83

Cell: 8.7323 5.0310 11.9882 Å, 90.00 103.48 90.00°
Fractional coordinates of all 8 atoms:
K 0.0000 0.0000 0.0000
K 0.5000 0.5000 0.0000
Ba 0.2177 0.0000 0.6586
Ba 0.2823 0.5000 0.3414
Ba 0.7177 0.5000 0.6586
Ba 0.7823 0.0000 0.3414
Sb 0.0000 0.5000 0.5000
Sb 0.5000 0.0000 0.5000

---

Entry 2:
A relaxed structure of KBa3Sb. Source: the Alexandria database, functional GGA-PBE.

Properties
Magnetization in μB per cell: 0.0
Formation energy from raw total energies in eV per atom: -0.3941
Fermi-level density of states in states/eV per cell: 6.3
Calculated total energy in eV/atom: -2.59

Cell: 6.8714 6.8714 6.8714 Å, 90.00 90.00 90.00°
Fractional coordinates of all 5 atoms:
K 0.0000 0.0000 0.0000
Ba 0.0000 0.5000 0.5000
Ba 0.5000 0.0000 0.5000
Ba 0.5000 0.5000 0.0000
Sb 0.5000 0.5000 0.5000

---

Entry 3:
A relaxed structure of KBaSbSe3. Source: the Alexandria database, functional GGA-PBE.

Properties
Magnetization in μB per cell: 0.0
Formation energy from raw total energies in eV per atom: -1.1510
Fermi-level density of states in states/eV per cell: 0.0
Calculated total energy in eV/atom: -4.08

Cell: 9.7280 9.3937 9.5463 Å, 90.00 108.73 90.00°
Fractional coordinates of all 24 atoms:
K 0.0743 0.1011 0.2079
K 0.0743 0.3989 0.7079
K 0.9257 0.6011 0.2921
K 0.9257 0.8989 0.7921
Ba 0.4190 0.7135 0.4660
Ba 0.4190 0.7865 0.9660
Ba 0.5810 0.2135 0.0340
Ba 0.5810 0.2865 0.5340
Sb 0.2499 0.0442 0.6280
Sb 0.2499 0.4558 0.1280
Sb 0.7501 0.5442 0.8720
Sb 0.7501 0.9558 0.3720
Se 0.1491 0.7126 0.1005
Se 0.1491 0.7874 0.6005
Se 0.2315 0.1034 0.8855
Se 0.2315 0.3966 0.3855
Se 0.4702 0.0120 0.2776
Se 0.4702 0.4880 0.7776
Se 0.5298 0.5120 0.2224
Se 0.5298 0.9880 0.7224
Se 0.7685 0.6034 0.6145
Se 0.7685 0.8966 0.1145
Se 0.8509 0.2126 0.3995
Se 0.8509 0.2874 0.8995

---

Entry 4:
A relaxed structure of K2BaSbSe4. Source: the Alexandria database, functional GGA-PBE.

Properties
Magnetization in μB per cell: 0.0
Formation energy from raw total energies in eV per atom: -0.9943
Fermi-level density of states in states/eV per cell: 13.7
Calculated total energy in eV/atom: -3.77

Cell: 9.1225 9.1225 9.1225 Å, 123.16 117.28 89.70°
Fractional coordinates of all 16 atoms:
K 0.0000 0.0000 0.0000
K 0.5000 0.0000 0.0000
K 0.5000 0.0000 0.5000
K 0.5000 0.5000 0.5000
Ba 0.0000 0.5000 0.5000
Ba 0.5000 0.5000 0.0000
Sb 0.0000 0.0000 0.5000
Sb 0.0000 0.5000 0.0000
Se 0.2049 0.2490 0.9559
Se 0.2068 0.7510 0.4559
Se 0.2182 0.2185 0.5003
Se 0.2182 0.7179 0.9997
Se 0.7818 0.2821 0.0003
Se 0.7818 0.7815 0.4997
Se 0.7932 0.2490 0.5441
Se 0.7951 0.7510 0.0441

---

Entry 5:
A relaxed structure of K2BaSnSb2. Source: the Alexandria database, functional GGA-PBE.

Properties
Magnetization in μB per cell: 0.0
Formation energy from raw total energies in eV per atom: -0.5787
Fermi-level density of states in states/eV per cell: 1.0
Calculated total energy in eV/atom: -3.31

Cell: 4.7456 9.9652 9.9286 Å, 90.00 90.00 90.00°
Fractional coordinates of all 12 atoms:
K 0.0000 0.0836 0.0000
K 0.0000 0.9164 0.5000
K 0.5000 0.1976 0.3232
K 0.5000 0.8024 0.8232
Ba 0.5000 0.4342 0.8957
Ba 0.5000 0.5658 0.3957
Sn 0.0000 0.2863 0.5879
Sn 0.0000 0.7137 0.0879
Sb 0.0000 0.4312 0.1720
Sb 0.0000 0.5688 0.6720
Sb 0.5000 0.1398 0.7182
Sb 0.5000 0.8602 0.2182

---

Entry 6:
A relaxed structure of KBaSr2Sb. Source: the Alexandria database, functional GGA-PBE.

Properties
Magnetization in μB per cell: 0.8
Formation energy from raw total energies in eV per atom: -0.3655
Fermi-level density of states in states/eV per cell: 5.1
Calculated total energy in eV/atom: -2.47

Cell: 6.5287 6.5287 6.8524 Å, 90.00 90.00 90.00°
Fractional coordinates of all 5 atoms:
K 0.0000 0.0000 0.0000
Ba 0.5000 0.5000 0.0000
Sr 0.0000 0.5000 0.5000
Sr 0.5000 0.0000 0.5000
Sb 0.5000 0.5000 0.5000

---

Entry 7:
A relaxed structure of KBaSbTe2. Source: the Alexandria database, functional GGA-PBE.

Properties
Magnetization in μB per cell: 1.9
Formation energy from raw total energies in eV per atom: -0.1283
Fermi-level density of states in states/eV per cell: 7.8
Calculated total energy in eV/atom: -2.81

Cell: 6.5839 6.5839 6.5561 Å, 90.00 90.00 90.00°
Fractional coordinates of all 5 atoms:
K 0.0000 0.0000 0.0000
Ba 0.5000 0.5000 0.5000
Sb 0.5000 0.5000 0.0000
Te 0.0000 0.5000 0.5000
Te 0.5000 0.0000 0.5000

---

Entry 8:
A relaxed structure of KBaSbTe2. Source: the Alexandria database, functional GGA-PBE.

Properties
Magnetization in μB per cell: 0.0
Formation energy from raw total energies in eV per atom: -0.0471
Fermi-level density of states in states/eV per cell: 7.2
Calculated total energy in eV/atom: -2.73

Cell: 6.0686 6.0686 5.7608 Å, 90.00 90.00 90.00°
Fractional coordinates of all 5 atoms:
K 0.0000 0.0000 0.0000
Ba 0.5000 0.5000 0.5000
Sb 0.0000 0.0000 0.5000
Te 0.0000 0.5000 0.0000
Te 0.5000 0.0000 0.0000